# 1
A relaxed structure of InRhSe2. Source: Alexandria via LeMat-Bulk, functional PBE-GGA.

Cell: 3.8145 3.8145 7.4440 Å, 75.15 75.15 60.00°
Element x y z (fractional)
Se1 0.0582 0.0582 0.8255
In1 0.5022 0.5022 0.4933
Se2 0.2733 0.2733 0.1801
Rh1 0.6663 0.6663 0.0012

Output
Formation energy without anion corrections in eV/atom: -0.349
Volume in A^3/atom: 22.40
Raw total energy in eV per atom: -4.614



# 2
A relaxed structure of CuPbAu2. Source: Alexandria via LeMat-Bulk, functional PBE-GGA.

Cell: 3.2657 3.2657 7.3664 Å, 90.00 90.00 90.00°
Element x y z (fractional)
Au1 0.0000 0.0000 0.4465
Au2 0.0000 0.0000 0.0535
Pb1 0.5000 0.5000 0.7500
Cu1 0.5000 0.5000 0.2500

Output
Volume in A^3/atom: 19.64
ΔE_f in eV per atom: 0.012
Raw total energy in eV per atom: -3.578



# 3
A relaxed structure of InTe3Pt. Source: Alexandria via LeMat-Bulk, functional PBE-GGA.

Cell: 5.3982 5.3982 5.3982 Å, 90.00 90.00 90.00°
Element x y z (fractional)
Te1 0.0000 0.0000 0.5000
Te2 0.5000 0.0000 0.0000
In1 0.5000 0.5000 0.5000
Pt1 0.0000 0.0000 0.0000
Te3 0.0000 0.5000 0.0000

Output
Formation energy without anion corrections in eV/atom: 0.177
Volume in A^3/atom: 31.46
Raw total energy in eV per atom: -3.464
E above lowest polymorph in meV/atom: 0.0



# 4
A relaxed structure of ZnTcTe2N. Source: Alexandria via LeMat-Bulk, functional PBE-GGA.

Cell: 5.4086 5.4086 3.5580 Å, 90.00 90.00 90.00°
Last column: magnetic moment on the atom in μB.
Element x y z (fractional)
Te1 0.0000 0.5000 0.0000  -0.10
Tc1 0.5000 0.5000 0.5000  2.50
N1 0.0000 0.0000 0.5000  0.28
Zn1 0.0000 0.0000 0.0000  -0.01
Te2 0.5000 0.0000 0.0000  -0.10

Output
Formation energy without anion corrections in eV/atom: 1.225
Volume in A^3/atom: 20.82
Raw total energy in eV per atom: -4.025
E above lowest polymorph in meV/atom: 927.4



# 5
A relaxed structure of Ce5Y3Se8. Source: Alexandria via LeMat-Bulk, functional PBE-GGA.

Cell: 8.2939 8.2939 8.3407 Å, 60.19 60.19 60.00°
Last column: magnetic moment on the atom in μB.
Element x y z (fractional)
Ce1 0.0000 0.5000 0.0000  0.82
Se1 0.7574 0.2500 0.7426  -0.01
Y1 0.0000 0.5000 0.5000  -0.01
Se2 0.7500 0.2426 0.2574  -0.01
Ce2 0.0000 0.0000 0.0000  0.70
Se3 0.7500 0.7500 0.2574  -0.01
Y2 0.5000 0.0000 0.5000  -0.01
Se4 0.2465 0.2465 0.2605  -0.01
Ce3 0.5000 0.5000 0.0000  0.82
Y3 0.0000 0.0000 0.5000  -0.01
Se5 0.7535 0.7535 0.7395  -0.01
Se6 0.2426 0.7500 0.2574  -0.01
Ce4 0.5000 0.0000 0.0000  0.82
Se7 0.2500 0.7574 0.7426  -0.01
Ce5 0.5000 0.5000 0.5000  0.68
Se8 0.2500 0.2500 0.7426  -0.01

Output
Formation energy without anion corrections in eV/atom: -1.808
Volume in A^3/atom: 25.43
Raw total energy in eV per atom: -6.617



# 6
A relaxed structure of TbEr2P3Rh12. Source: Alexandria via LeMat-Bulk, functional PBE-GGA.

Cell: 6.6934 6.6934 6.6934 Å, 83.72 83.72 83.72°
Element x y z (fractional)
P1 0.5000 0.0000 0.0000
Rh1 0.1804 0.6612 0.1804
Rh2 0.6612 0.1804 0.1804
Rh3 0.8196 0.3388 0.8196
Rh4 0.3388 0.8196 0.8196
Er1 0.6274 0.6274 0.6274
Rh5 0.3706 0.9067 0.3706
P2 0.0000 0.5000 0.0000
Rh6 0.8196 0.8196 0.3388
Rh7 0.1804 0.1804 0.6612
Rh8 0.9067 0.3706 0.3706
P3 0.0000 0.0000 0.5000
Tb1 0.0000 0.0000 0.0000
Er2 0.3726 0.3726 0.3726
Rh9 0.0933 0.6294 0.6294
Rh10 0.3706 0.3706 0.9067
Rh11 0.6294 0.0933 0.6294
Rh12 0.6294 0.6294 0.0933

Output
Volume in A^3/atom: 16.38
ΔE_f in eV per atom: -0.429
Raw total energy in eV per atom: -6.996



# 7
A relaxed structure of Pm7DyTm3. Source: Alexandria via LeMat-Bulk, functional PBE-GGA.

Cell: 8.6301 7.1496 7.1496 Å, 120.00 90.00 90.00°
Element x y z (fractional)
Pm1 0.4574 0.8325 0.1675
Dy1 0.4442 0.3333 0.6667
Pm2 0.1094 0.6649 0.8325
Tm1 0.7821 0.0012 0.5006
Pm3 0.1094 0.1675 0.8325
Pm4 0.4574 0.8325 0.6651
Pm5 0.1241 0.6667 0.3333
Tm2 0.7821 0.4994 0.5006
Pm6 0.1094 0.1675 0.3351
Tm3 0.7821 0.4994 0.9988
Pm7 0.4574 0.3349 0.1675

Output
Volume in A^3/atom: 34.73
ΔE_f in eV per atom: 0.187
Raw total energy in eV per atom: -4.474
E above lowest polymorph in meV/atom: 5.3



# 8
A relaxed structure of SbMoRh4. Source: Alexandria via LeMat-Bulk, functional PBE-GGA.

Cell: 5.1548 5.1548 5.1548 Å, 60.00 60.00 60.00°
Last column: magnetic moment on the atom in μB.
Element x y z (fractional)
Rh1 0.8768 0.3744 0.3744  0.00
Rh2 0.3744 0.3744 0.3744  0.00
Sb1 0.7500 0.7500 0.7500  0.00
Rh3 0.3744 0.8768 0.3744  0.00
Rh4 0.3744 0.3744 0.8768  0.00
Mo1 0.0000 0.0000 0.0000  0.08

Output
Formation energy without anion corrections in eV/atom: 0.265
Volume in A^3/atom: 16.14
Raw total energy in eV per atom: -7.128



# 9
A relaxed structure of HfGaOs2. Source: Alexandria via LeMat-Bulk, functional PBE-GGA.

Cell: 3.2595 4.3894 4.3894 Å, 90.00 90.00 90.00°
Element x y z (fractional)
Os1 0.0000 0.0000 0.5000
Hf1 0.5000 0.5000 0.5000
Os2 0.0000 0.5000 0.0000
Ga1 0.5000 0.0000 0.0000

Output
Volume in A^3/atom: 15.70
ΔE_f in eV per atom: -0.313
Raw total energy in eV per atom: -9.173



# 10
A relaxed structure of KTiP2Cl. Source: Alexandria via LeMat-Bulk, functional PBE-GGA.

Cell: 5.1543 5.1543 5.1496 Å, 90.00 90.00 90.00°
Last column: magnetic moment on the atom in μB.
Element x y z (fractional)
P1 0.5000 0.0000 0.0000  0.02
K1 0.0000 0.0000 0.0000  0.00
Cl1 0.0000 0.0000 0.5000  0.02
Ti1 0.5000 0.5000 0.5000  -0.27
P2 0.0000 0.5000 0.0000  0.02

Output
Formation energy without anion corrections in eV/atom: 1.385
Volume in A^3/atom: 27.36
Raw total energy in eV per atom: -2.946
E above lowest polymorph in meV/atom: 2027.4



# 11
A relaxed structure of EuTmSn. Source: Alexandria via LeMat-Bulk, functional PBE-GGA.

Cell: 3.7991 5.2874 5.2874 Å, 120.00 90.00 90.00°
Last column: magnetic moment on the atom in μB.
Element x y z (fractional)
Eu1 0.6797 0.3333 0.6667  -6.92
Sn1 0.1137 0.0000 0.0000  0.04
Tm1 0.2066 0.6667 0.3333  -0.31

Output
Volume in A^3/atom: 30.66
ΔE_f in eV per atom: -0.367
Raw total energy in eV per atom: -6.617



# 12
A relaxed structure of HoTm6Os2. Source: Alexandria via LeMat-Bulk, functional PBE-GGA.

Cell: 3.9443 7.6940 8.5597 Å, 78.29 76.68 75.15°
Element x y z (fractional)
Tm1 0.6893 0.1755 0.4458
Tm2 0.2735 0.3417 0.1112
Tm3 0.3107 0.8245 0.5542
Ho1 0.0000 0.5000 0.5000
Os1 0.6033 0.5497 0.2438
Tm4 0.7265 0.6583 0.8888
Tm5 0.0106 0.1689 0.8098
Os2 0.3967 0.4503 0.7562
Tm6 0.9894 0.8311 0.1902

Output
Volume in A^3/atom: 26.83
ΔE_f in eV per atom: -0.170
Raw total energy in eV per atom: -6.155



# 13
A relaxed structure of LiSiSe. Source: Alexandria via LeMat-Bulk, functional PBE-GGA.

Cell: 5.3485 5.3485 5.3485 Å, 141.96 141.96 54.89°
Element x y z (fractional)
Se1 0.2957 0.2957 0.0000
Li1 0.0063 0.0063 0.0000
Si1 0.6980 0.6980 0.0000

Output
Formation energy without anion corrections in eV/atom: -0.110
Volume in A^3/atom: 19.23
Raw total energy in eV per atom: -3.717
E above lowest polymorph in meV/atom: 64.2



# 14
A relaxed structure of AgSnB. Source: Alexandria via LeMat-Bulk, functional PBE-GGA.

Cell: 3.8359 6.1175 5.4221 Å, 69.87 69.14 89.68°
Element x y z (fractional)
Sn1 0.5257 0.9545 0.8380
B1 0.5920 0.4086 0.7105
B2 0.7283 0.3179 0.4423
Ag1 0.8051 0.7540 0.2775
Sn2 0.3429 0.2612 0.2149
Ag2 0.0715 0.6105 0.7476

Output
Volume in A^3/atom: 18.44
ΔE_f in eV per atom: 0.480
Raw total energy in eV per atom: -4.030



# 15
A relaxed structure of HoHfMgZn. Source: Alexandria via LeMat-Bulk, functional PBE-GGA.

Cell: 4.9686 4.9686 4.9686 Å, 60.00 60.00 60.00°
Element x y z (fractional)
Hf1 0.2500 0.2500 0.2500
Ho1 0.7500 0.7500 0.7500
Mg1 0.0000 0.0000 0.0000
Zn1 0.5000 0.5000 0.5000

Output
Volume in A^3/atom: 21.68
ΔE_f in eV per atom: -0.004
Raw total energy in eV per atom: -4.354



# 16
A relaxed structure of EuAlCu. Source: Alexandria via LeMat-Bulk, functional PBE-GGA.

Cell: 4.0372 4.4137 4.4137 Å, 120.00 90.00 90.00°
Last column: magnetic moment on the atom in μB.
Element x y z (fractional)
Cu1 0.1667 0.0000 0.0000  0.00
Eu1 0.6667 0.6667 0.3333  6.80
Al1 0.1667 0.3333 0.6667  0.01

Output
Volume in A^3/atom: 22.70
ΔE_f in eV per atom: -0.221
Raw total energy in eV per atom: -6.259



# 17
A relaxed structure of Dy2HRu. Source: Alexandria via LeMat-Bulk, functional PBE-GGA.

Cell: 5.5347 5.5234 10.0803 Å, 94.77 90.00 90.00°
Element x y z (fractional)
H1 0.8460 0.0705 0.1239
Dy1 0.7378 0.5491 0.6079
Dy2 0.1905 0.5148 0.8607
Dy3 0.1905 0.9852 0.6393
Dy4 0.7378 0.9509 0.8921
Ru1 0.3161 0.9435 0.3735
Dy5 0.2622 0.0491 0.1079
H2 0.1540 0.9295 0.8761
H3 0.1540 0.5705 0.6239
Ru2 0.6839 0.0565 0.6265
Dy6 0.2622 0.4509 0.3921
Dy7 0.8095 0.4852 0.1393
Dy8 0.8095 0.0148 0.3607
H4 0.8460 0.4295 0.3761
Ru3 0.6839 0.4435 0.8735
Ru4 0.3161 0.5565 0.1265

Output
Volume in A^3/atom: 19.19
Raw total energy in eV per atom: -5.764
E above lowest polymorph in meV/atom: 0.0



# 18
A relaxed structure of Sc2NiPb. Source: Alexandria via LeMat-Bulk, functional PBE-GGA.

Cell: 3.3682 3.3682 7.4642 Å, 90.00 90.00 90.00°
Last column: magnetic moment on the atom in μB.
Element x y z (fractional)
Ni1 0.0000 0.0000 0.4732  0.14
Sc1 0.0000 0.0000 0.0089  0.62
Pb1 0.5000 0.5000 0.7136  0.02
Sc2 0.5000 0.5000 0.3044  0.31

Output
Volume in A^3/atom: 21.17
ΔE_f in eV per atom: -0.141
Raw total energy in eV per atom: -5.679



# 19
A relaxed structure of LuMnRu2. Source: Alexandria via LeMat-Bulk, functional PBE-GGA.

Cell: 3.2405 4.4366 4.4366 Å, 90.00 90.00 90.00°
Last column: magnetic moment on the atom in μB.
Element x y z (fractional)
Mn1 0.5000 0.0000 0.0000  3.27
Lu1 0.5000 0.5000 0.5000  -0.04
Ru1 0.0000 0.5000 0.0000  -0.21
Ru2 0.0000 0.0000 0.5000  -0.21

Output
Volume in A^3/atom: 15.95
ΔE_f in eV per atom: -0.131
Raw total energy in eV per atom: -8.191
E above lowest polymorph in meV/atom: 3.9



# 20
A relaxed structure of SrIn2Ni2. Source: Alexandria via LeMat-Bulk, functional PBE-GGA.

Cell: 4.6717 4.6717 6.1113 Å, 67.53 67.53 90.00°
Element x y z (fractional)
Ni1 0.7500 0.2500 0.5000
In1 0.3530 0.3530 0.2940
Ni2 0.2500 0.7500 0.5000
Sr1 0.0000 0.0000 0.0000
In2 0.6470 0.6470 0.7060

Output
Volume in A^3/atom: 22.44
ΔE_f in eV per atom: -0.173
Raw total energy in eV per atom: -3.917